This record from Alexandria describes CaTc2As at its PBEsol-relaxed geometry. The functional is SCAN.

abc: 4.158 4.158 5.808
angles: 69.02 69.02 60.00
Element x y z (fractional)
Ca 0.247 0.247 0.259
Tc 0.046 0.046 0.862
As 0.460 0.460 0.619
Tc 0.743 0.743 0.770

Properties
Formation energy: -271 meV per atom
VASP energy: -25.265 eV/atom
Space group: R3m
Total magnetization: 0.0 μB per formula unit

=====

This record from Alexandria describes K2YCuBr6 at its PBEsol-relaxed geometry. The functional is SCAN.

abc: 7.556 7.556 7.556
angles: 60.00 60.00 60.00
Element x y z (fractional)
K 0.250 0.250 0.250
Y 0.000 0.000 0.000
Br 0.743 0.257 0.743
Br 0.257 0.743 0.743
K 0.750 0.750 0.750
Br 0.743 0.743 0.257
Cu 0.500 0.500 0.500
Br 0.743 0.257 0.257
Br 0.257 0.743 0.257
Br 0.257 0.257 0.743

Properties
VASP energy: -19.272 eV/atom
Uncorrected formation energy: -1.63 eV/atom
Space group: Fm-3m
Total magnetization: 0.0 μB per formula unit

=====

This record from Alexandria describes PIrW2 at its PBEsol-relaxed geometry. The functional is SCAN.

abc: 2.941 4.482 5.097
angles: 116.08 106.77 90.00
Element x y z (fractional)
P 0.000 0.500 0.000
Ir 0.500 0.000 0.000
W 0.722 0.722 0.444
W 0.278 0.278 0.556

Properties
Formation energy: 12 meV per atom
VASP energy: -55.206 eV/atom
Space group: Immm
Total magnetization: 0.0 μB per formula unit

=====

This record from Alexandria describes AcAg2Pb at its PBEsol-relaxed geometry. The functional is SCAN.

abc: 5.202 5.202 5.202
angles: 60.00 60.00 60.00
Element x y z (fractional)
Ag 0.250 0.250 0.250
Pb 0.000 0.000 0.000
Ac 0.500 0.500 0.500
Ag 0.750 0.750 0.750

Properties
Formation energy: -335 meV per atom
VASP energy: -57.582 eV/atom
Space group: Fm-3m
Total magnetization: 0.0 μB per formula unit

=====

This record from Alexandria describes Sr3FeN at its PBEsol-relaxed geometry. The functional is SCAN.

abc: 5.164 5.164 5.164
angles: 90.00 90.00 90.00
Last column: magnetic moment on the atom in μB.
Element x y z (fractional)
Fe 0.500 0.500 0.500  3.12
Sr 0.000 0.500 0.000  0.00
Sr 0.000 0.000 0.500  0.00
N 0.000 0.000 0.000  0.04
Sr 0.500 0.000 0.000  0.00

Properties
VASP energy: -18.894 eV/atom
Uncorrected formation energy: -0.04 eV/atom
Space group: Pm-3m
Total magnetization: 3.5 μB per formula unit

=====

This record from Alexandria describes Zr2HgH2 at its PBEsol-relaxed geometry. The functional is SCAN.

abc: 3.703 3.703 5.523
angles: 109.59 109.59 90.00
Element x y z (fractional)
Hg 0.000 0.000 0.000
H 0.250 0.750 0.500
Zr 0.655 0.655 0.310
Zr 0.345 0.345 0.690
H 0.750 0.250 0.500

Properties
VASP energy: -27.824 eV/atom
Space group: I4/mmm
Total magnetization: 0.0 μB per formula unit

=====

This record from Alexandria describes K2SrLa at its PBEsol-relaxed geometry. The functional is SCAN.

abc: 3.917 3.917 14.243
angles: 90.00 90.00 111.78
Element x y z (fractional)
Sr 0.500 0.500 0.272
K 0.500 0.500 0.731
K 0.000 0.000 0.011
La 0.000 0.000 0.486

Properties
Formation energy: 196 meV per atom
VASP energy: -20.313 eV/atom
Space group: Cmm2
Total magnetization: 0.0 μB per formula unit

=====

This record from Alexandria describes LaCr2Mo at its PBEsol-relaxed geometry. The functional is SCAN.

abc: 4.498 4.498 4.498
angles: 60.00 60.00 60.00
Last column: magnetic moment on the atom in μB.
Element x y z (fractional)
Cr 0.000 0.000 0.000  2.88
Cr 0.750 0.750 0.750  -2.87
La 0.500 0.500 0.500  -0.12
Mo 0.250 0.250 0.250  -0.68

Properties
Formation energy: 575 meV per atom
VASP energy: -28.115 eV/atom
Space group: F-43m
Total magnetization: 0.8 μB per formula unit

=====

This record from Alexandria describes Mg3Sc at its PBEsol-relaxed geometry. The functional is SCAN.

abc: 3.565 5.054 5.908
angles: 115.32 107.56 90.00
Last column: magnetic moment on the atom in μB.
Element x y z (fractional)
Mg 0.500 0.000 0.000  0.01
Sc 0.000 0.500 0.000  0.27
Mg 0.758 0.758 0.515  0.01
Mg 0.242 0.242 0.485  0.01

Properties
Formation energy: 13 meV per atom
VASP energy: -7.276 eV/atom
Space group: Immm
Total magnetization: 0.6 μB per formula unit

=====

This record from Alexandria describes MgNbCl2 at its PBEsol-relaxed geometry. The functional is SCAN.

abc: 3.143 3.143 9.615
angles: 80.59 80.59 60.00
Element x y z (fractional)
Cl 0.896 0.896 0.312
Nb 0.500 0.500 0.500
Cl 0.104 0.104 0.688
Mg 0.000 0.000 0.000

Properties
VASP energy: -14.266 eV/atom
Uncorrected formation energy: -0.75 eV/atom
Space group: R-3m
Total magnetization: 0.0 μB per formula unit

=====

What did the first record say?
This record from Alexandria describes CaTc2As at its PBEsol-relaxed geometry. The functional is SCAN.

abc: 4.158 4.158 5.808
angles: 69.02 69.02 60.00
Element x y z (fractional)
Ca 0.247 0.247 0.259
Tc 0.046 0.046 0.862
As 0.460 0.460 0.619
Tc 0.743 0.743 0.770

Properties
Formation energy: -271 meV per atom
VASP energy: -25.265 eV/atom
Space group: R3m
Total magnetization: 0.0 μB per formula unit

=====

Repeat the second record exactly.
This record from Alexandria describes K2YCuBr6 at its PBEsol-relaxed geometry. The functional is SCAN.

abc: 7.556 7.556 7.556
angles: 60.00 60.00 60.00
Element x y z (fractional)
K 0.250 0.250 0.250
Y 0.000 0.000 0.000
Br 0.743 0.257 0.743
Br 0.257 0.743 0.743
K 0.750 0.750 0.750
Br 0.743 0.743 0.257
Cu 0.500 0.500 0.500
Br 0.743 0.257 0.257
Br 0.257 0.743 0.257
Br 0.257 0.257 0.743

Properties
VASP energy: -19.272 eV/atom
Uncorrected formation energy: -1.63 eV/atom
Space group: Fm-3m
Total magnetization: 0.0 μB per formula unit